A plane-wave DFT calculation with GGA-PBE was carried out for CsRbBa2 after structural relaxation.

Cell and atoms, written as POSCAR:
```
CsRbBa2
1.0
0.000 5.393 5.393
5.393 0.000 5.393
5.393 5.393 0.000
Ba Cs Rb
2 1 1
Cartesian
8.089 8.089 8.089
2.696 2.696 2.696
5.393 5.393 5.393
0.000 0.000 0.000
```

Output
The value obtained for the offset from the most stable computed form is 0.20 eV per formula unit. The calculation puts the formation energy at 0.2170 eV/atom.

A plane-wave DFT calculation with GGA-PBE was carried out for SrTaHg2 after structural relaxation.

Cell and atoms, written as POSCAR:
```
SrTaHg2
1.0
5.412 0.000 0.000
0.000 5.412 0.000
0.000 0.000 3.208
Ta Sr Hg
1 1 2
Cartesian
0.000 2.706 1.604
2.706 0.000 1.604
2.706 2.706 0.000
0.000 0.000 0.000
```

Output
The calculation puts the formation energy at 0.3259 eV/atom.